No. 1
! ZnCdW4C2 (PBE, relaxed); values from VASP
&SYSTEM
  ibrav = 0, nat = 8, ntyp = 4
/
ATOMIC_SPECIES
Zn 65.41 Zn.upf
Cd 112.41 Cd.upf
W 183.84 W.upf
C 12.01 C.upf
CELL_PARAMETERS angstrom
3.018 0.000 0.000
-1.509 2.613 0.000
0.000 0.000 14.184
ATOMIC_POSITIONS crystal
Zn 0.000 0.000 0.000
Cd 0.667 0.333 0.500
W 0.000 0.000 0.326
W 0.000 0.000 0.674
W 0.667 0.333 0.154
W 0.667 0.333 0.846
C 0.333 0.667 0.241
C 0.333 0.667 0.759
! - magnetic moment (μB/f.u.) = 0.0
! - theoretical density (g/cm3) = 13.91

***

No. 2
! Zr4Cd3W2C3 (PBE, relaxed); values from VASP
&SYSTEM
  ibrav = 0, nat = 24, ntyp = 4
/
ATOMIC_SPECIES
Zr 91.22 Zr.upf
Cd 112.41 Cd.upf
W 183.84 W.upf
C 12.01 C.upf
CELL_PARAMETERS angstrom
4.882 -2.822 0.000
4.882 2.822 0.000
-3.315 0.000 14.714
ATOMIC_POSITIONS crystal
Zr 0.040 0.188 0.090
Zr 0.127 0.302 0.410
Zr 0.188 0.040 0.590
Zr 0.302 0.127 0.910
Zr 0.698 0.873 0.090
Zr 0.812 0.960 0.410
Zr 0.873 0.698 0.590
Zr 0.960 0.812 0.910
Cd 0.123 0.877 0.250
Cd 0.286 0.419 0.752
Cd 0.419 0.286 0.252
Cd 0.581 0.714 0.748
Cd 0.714 0.581 0.248
Cd 0.877 0.123 0.750
W 0.347 0.523 0.069
W 0.477 0.653 0.431
W 0.523 0.347 0.569
W 0.653 0.477 0.931
C 0.000 0.500 0.000
C 0.178 0.661 0.500
C 0.339 0.822 0.000
C 0.500 0.000 0.500
C 0.661 0.178 0.000
C 0.822 0.339 0.500
! - magnetic moment (μB/f.u.) = 0.0
! - theoretical density (g/cm3) = 9.06

***

No. 3
! Zr2Cd3W4C3 (PBE, relaxed); values from VASP
&SYSTEM
  ibrav = 0, nat = 24, ntyp = 4
/
ATOMIC_SPECIES
Zr 91.22 Zr.upf
Cd 112.41 Cd.upf
W 183.84 W.upf
C 12.01 C.upf
CELL_PARAMETERS angstrom
4.771 -2.761 0.000
4.771 2.761 0.000
-3.212 0.000 14.227
ATOMIC_POSITIONS crystal
Zr 0.035 0.872 0.601
Zr 0.128 0.965 0.899
Zr 0.872 0.035 0.101
Zr 0.965 0.128 0.399
Cd 0.085 0.339 0.752
Cd 0.339 0.085 0.252
Cd 0.495 0.505 0.250
Cd 0.505 0.495 0.750
Cd 0.661 0.915 0.748
Cd 0.915 0.661 0.248
W 0.191 0.349 0.073
W 0.300 0.484 0.427
W 0.349 0.191 0.573
W 0.484 0.300 0.927
W 0.516 0.700 0.073
W 0.651 0.809 0.427
W 0.700 0.516 0.573
W 0.809 0.651 0.927
C 0.000 0.500 0.500
C 0.166 0.667 0.000
C 0.333 0.834 0.500
C 0.500 0.000 0.000
C 0.667 0.166 0.500
C 0.834 0.333 0.000
! - magnetic moment (μB/f.u.) = 0.0
! - theoretical density (g/cm3) = 11.44

***

No. 4
! Y4CdC3 (PBE, relaxed); values from VASP
&SYSTEM
  ibrav = 0, nat = 16, ntyp = 3
/
ATOMIC_SPECIES
Y 88.91 Y.upf
Cd 112.41 Cd.upf
C 12.01 C.upf
CELL_PARAMETERS angstrom
3.604 0.000 0.000
-1.802 3.121 0.000
0.000 0.000 28.280
ATOMIC_POSITIONS crystal
Y 0.000 0.000 0.151
Y 0.000 0.000 0.349
Y 0.000 0.000 0.651
Y 0.000 0.000 0.849
Y 0.333 0.667 0.052
Y 0.333 0.667 0.448
Y 0.667 0.333 0.552
Y 0.667 0.333 0.948
Cd 0.333 0.667 0.250
Cd 0.667 0.333 0.750
C 0.000 0.000 0.000
C 0.000 0.000 0.500
C 0.333 0.667 0.610
C 0.333 0.667 0.890
C 0.667 0.333 0.110
C 0.667 0.333 0.390
! - magnetic moment (μB/f.u.) = 0.0
! - theoretical density (g/cm3) = 5.26

***

No. 5
! Y3CdC (PBE, relaxed); values from VASP
&SYSTEM
  ibrav = 0, nat = 5, ntyp = 3
/
ATOMIC_SPECIES
Y 88.91 Y.upf
Cd 112.41 Cd.upf
C 12.01 C.upf
CELL_PARAMETERS angstrom
4.938 0.000 0.000
0.000 4.938 0.000
0.000 0.000 4.938
ATOMIC_POSITIONS crystal
Y 0.000 0.000 0.500
Y 0.000 0.500 0.000
Y 0.500 0.000 0.000
Cd 0.500 0.500 0.500
C 0.000 0.000 0.000
! - magnetic moment (μB/f.u.) = 1.0
! - theoretical density (g/cm3) = 5.40
! - relative energy among the computed polymorphs (eV/atom) = 0.0071

***

No. 6
! Y3CdC2 (PBE, relaxed); values from VASP
&SYSTEM
  ibrav = 0, nat = 12, ntyp = 3
/
ATOMIC_SPECIES
Y 88.91 Y.upf
Cd 112.41 Cd.upf
C 12.01 C.upf
CELL_PARAMETERS angstrom
3.609 0.000 0.000
-1.804 3.125 0.000
0.000 0.000 22.532
ATOMIC_POSITIONS crystal
Y 0.000 0.000 0.000
Y 0.000 0.000 0.500
Y 0.333 0.667 0.123
Y 0.333 0.667 0.377
Y 0.667 0.333 0.623
Y 0.667 0.333 0.877
Cd 0.000 0.000 0.250
Cd 0.000 0.000 0.750
C 0.333 0.667 0.571
C 0.333 0.667 0.929
C 0.667 0.333 0.071
C 0.667 0.333 0.429
! - magnetic moment (μB/f.u.) = 0.0
! - theoretical density (g/cm3) = 5.27

***

No. 7
! Y2CdC (PBE, relaxed); values from VASP
&SYSTEM
  ibrav = 0, nat = 24, ntyp = 3
/
ATOMIC_SPECIES
Y 88.91 Y.upf
Cd 112.41 Cd.upf
C 12.01 C.upf
CELL_PARAMETERS angstrom
5.385 -3.106 0.000
5.385 3.106 0.000
-3.584 0.000 16.467
ATOMIC_POSITIONS crystal
Y 0.028 0.864 0.587
Y 0.136 0.972 0.913
Y 0.193 0.359 0.079
Y 0.306 0.475 0.421
Y 0.359 0.193 0.579
Y 0.475 0.306 0.921
Y 0.525 0.694 0.079
Y 0.641 0.807 0.421
Y 0.694 0.525 0.579
Y 0.807 0.641 0.921
Y 0.864 0.028 0.087
Y 0.972 0.136 0.413
Cd 0.085 0.403 0.750
Cd 0.403 0.085 0.250
Cd 0.423 0.577 0.250
Cd 0.577 0.423 0.750
Cd 0.597 0.915 0.750
Cd 0.915 0.597 0.250
C 0.000 0.500 0.500
C 0.163 0.674 0.000
C 0.326 0.837 0.500
C 0.500 0.000 0.000
C 0.674 0.163 0.500
C 0.837 0.326 0.000
! - magnetic moment (μB/f.u.) = 0.1
! - theoretical density (g/cm3) = 5.47

***

No. 8
! Y3CdC (PBE, relaxed); values from VASP
&SYSTEM
  ibrav = 0, nat = 10, ntyp = 3
/
ATOMIC_SPECIES
Y 88.91 Y.upf
Cd 112.41 Cd.upf
C 12.01 C.upf
CELL_PARAMETERS angstrom
-3.502 4.886 3.489
3.502 -4.886 3.489
3.502 4.886 -3.489
ATOMIC_POSITIONS crystal
Y 0.222 0.000 0.722
Y 0.222 0.500 0.222
Y 0.307 0.057 0.250
Y 0.693 0.943 0.750
Y 0.778 0.000 0.278
Y 0.778 0.500 0.778
Cd 0.246 0.496 0.750
Cd 0.754 0.504 0.250
C 0.000 0.000 0.000
C 0.500 0.000 0.500
! - magnetic moment (μB/f.u.) = 0.0
! - theoretical density (g/cm3) = 5.44
! - relative energy among the computed polymorphs (eV/atom) = 0.0000

***

No. 9
! Zr4CdC3 (PBE, relaxed); values from VASP
&SYSTEM
  ibrav = 0, nat = 16, ntyp = 3
/
ATOMIC_SPECIES
Zr 91.22 Zr.upf
Cd 112.41 Cd.upf
C 12.01 C.upf
CELL_PARAMETERS angstrom
3.356 0.000 0.000
-1.678 2.907 0.000
0.000 0.000 26.059
ATOMIC_POSITIONS crystal
Zr 0.000 0.000 0.151
Zr 0.000 0.000 0.349
Zr 0.000 0.000 0.651
Zr 0.000 0.000 0.849
Zr 0.333 0.667 0.050
Zr 0.333 0.667 0.450
Zr 0.667 0.333 0.550
Zr 0.667 0.333 0.950
Cd 0.333 0.667 0.250
Cd 0.667 0.333 0.750
C 0.000 0.000 0.000
C 0.000 0.000 0.500
C 0.333 0.667 0.607
C 0.333 0.667 0.893
C 0.667 0.333 0.107
C 0.667 0.333 0.393
! - magnetic moment (μB/f.u.) = 0.0
! - theoretical density (g/cm3) = 6.71

***

No. 10
! Zr3CdC2 (PBE, relaxed); values from VASP
&SYSTEM
  ibrav = 0, nat = 12, ntyp = 3
/
ATOMIC_SPECIES
Zr 91.22 Zr.upf
Cd 112.41 Cd.upf
C 12.01 C.upf
CELL_PARAMETERS angstrom
3.352 0.000 0.000
-1.676 2.903 0.000
0.000 0.000 20.660
ATOMIC_POSITIONS crystal
Zr 0.000 0.000 0.000
Zr 0.000 0.000 0.500
Zr 0.333 0.667 0.125
Zr 0.333 0.667 0.375
Zr 0.667 0.333 0.625
Zr 0.667 0.333 0.875
Cd 0.000 0.000 0.250
Cd 0.000 0.000 0.750
C 0.333 0.667 0.569
C 0.333 0.667 0.931
C 0.667 0.333 0.069
C 0.667 0.333 0.431
! - magnetic moment (μB/f.u.) = 0.0
! - theoretical density (g/cm3) = 6.77

***

no.,raw total energy (eV per atom)
1,-8.86
2,-7.91
3,-8.41
4,-7.01
5,-6.24
6,-6.73
7,-6.06
8,-6.25
9,-8.54
10,-8.15